[1]
VASP calculation (GGA-PBE) on a relaxed MgAl2AgGe crystal.

- magnetization (μB per cell) = 0.0
- DFT total energy (eV/atom) = -2.801
- crystal system = tetragonal
- space-group type = No. 123
- energy of formation (meV/atom) = 508.4

Unit cell a=4.8840 b=4.8840 c=4.9691 alpha=90.00 beta=90.00 gamma=90.00
Last column: nearest neighbours and their distance in Å.
Positions (direct):
Mg: 0.0000 0.0000 0.0000  2 Ge 2.48
Al: 0.0000 0.5000 0.5000  2 Ge 2.44
Al: 0.5000 0.0000 0.5000  2 Ge 2.44
Ag: 0.5000 0.5000 0.0000  4 Mg 3.45, 8 Al 3.48
Ge: 0.0000 0.0000 0.5000  4 Al 2.44, 2 Mg 2.48


[2]
VASP calculation (GGA-PBE) on a relaxed CrPbCl2 crystal.

- relative energy among the computed polymorphs (eV/atom) = 0.199
- magnetization (μB per cell) = 4.7
- DFT total energy (eV/atom) = -4.586
- crystal system = trigonal
- energy relative to the elements, uncorrected (meV/atom) = -330
- space-group type = No. 160

Unit cell a=8.7953 b=8.7953 c=8.7953 alpha=25.00 beta=25.00 gamma=25.00
Last column: nearest neighbours and their distance in Å.
Positions (direct):
Cr: 0.0000 0.0000 0.0000  3 Cl 2.46
Pb: 0.2446 0.2446 0.2446  3 Cl 2.94, 3 Cr 3.16
Cl: 0.5018 0.5018 0.5018  3 Pb 2.94
Cl: 0.7097 0.7097 0.7097  3 Cr 2.46


[3]
VASP calculation (GGA-PBE) on a relaxed SrLiSn2Hg crystal.

- magnetization (μB per cell) = 0.0
- DFT total energy (eV/atom) = -2.824
- crystal system = tetragonal
- space-group type = No. 119
- energy of formation (meV/atom) = -443.3

Unit cell a=7.0343 b=7.0343 c=7.0343 alpha=140.98 beta=140.98 gamma=56.37
Last column: nearest neighbours and their distance in Å.
Positions (direct):
Sr: 0.0000 0.0000 0.0000  8 Sn 3.61, 4 Hg 3.89, 4 Li 3.89
Li: 0.2500 0.7500 0.5000  4 Sn 2.89
Sn: 0.3854 0.3854 0.0000  1 Sn 2.84, 2 Hg 2.89, 2 Li 2.89
Sn: 0.6146 0.6146 0.0000  1 Sn 2.84, 2 Hg 2.89, 2 Li 2.89
Hg: 0.7500 0.2500 0.5000  4 Sn 2.89


[4]
VASP calculation (GGA-PBE) on a relaxed Cr2HIrOs crystal.

- relative energy among the computed polymorphs (eV/atom) = 0.018
- magnetization (μB per cell) = 0.3
- DFT total energy (eV/atom) = -8.526
- crystal system = tetragonal
- space-group type = No. 123

Unit cell a=3.8199 b=3.8199 c=3.7421 alpha=90.00 beta=90.00 gamma=90.00
Last column: nearest neighbours and their distance in Å.
Positions (direct):
Cr: 0.0000 0.5000 0.0000  2 H 1.91
Cr: 0.5000 0.0000 0.0000  2 H 1.91
H: 0.0000 0.0000 0.0000  2 Ir 1.87, 4 Cr 1.91
Ir: 0.0000 0.0000 0.5000  2 H 1.87
Os: 0.5000 0.5000 0.5000  8 Cr 2.67, 4 Ir 2.70


Mass density for every record listed, in sequence, given in g/cm3: 3.63, 5.13, 6.46, 14.82.